Here is LaUPdO6 after structural relaxation from Alexandria. Energies are from PBE.

Crystal system: trigonal
Uncorrected formation energy: -2.4261 eV/atom

abc: 5.4353 5.4353 10.7563
angles: 90.00 90.00 120.00
Positions (direct):
La 0.0000 0.0000 0.0000
La 0.0000 0.0000 0.5000
O 0.3508 0.9954 0.6407
O 0.9954 0.3508 0.1407
O 0.9954 0.6446 0.3593
O 0.0046 0.6492 0.8593
O 0.6446 0.9954 0.8593
O 0.6492 0.0046 0.3593
O 0.6446 0.6492 0.6407
O 0.0046 0.3554 0.6407
O 0.6492 0.6446 0.1407
O 0.3508 0.3554 0.8593
O 0.3554 0.0046 0.1407
O 0.3554 0.3508 0.3593
Pd 0.3333 0.6667 0.2500
Pd 0.6667 0.3333 0.7500
U 0.3333 0.6667 0.7500
U 0.6667 0.3333 0.2500